Version P
Entry from the Open Quantum Materials Database: a relaxed structure of Mg2CdAu (GGA-PBE).

```
Mg2CdAu
1.0
4.946 0.000 0.000
0.000 5.335 2.976
0.000 -5.335 2.976
Au Cd Mg
2 2 4
Direct
0.250 0.859 0.671 Au
0.750 0.671 0.859 Au
0.750 0.652 0.333 Cd
0.250 0.333 0.652 Cd
0.250 0.828 0.141 Mg
0.250 0.343 0.173 Mg
0.750 0.173 0.343 Mg
0.750 0.141 0.828 Mg
```


Version Q
Entry from the Open Quantum Materials Database: a relaxed structure of Mg2CdAu (GGA-PBE).

```
Mg2CdAu
1.0
-1.575 5.734 -0.125
-3.709 -3.725 2.784
2.368 0.741 4.146
Au Cd Mg
2 2 4
Direct
0.658 0.342 0.250 Au
0.342 0.658 0.750 Au
0.150 0.850 0.250 Cd
0.850 0.150 0.750 Cd
0.162 0.362 0.250 Mg
0.638 0.838 0.250 Mg
0.362 0.162 0.750 Mg
0.838 0.638 0.750 Mg
```


Which structure is the most stable? The one labeled version Q.


Version P
Entry from the Open Quantum Materials Database: a relaxed structure of NaCdSnAu (GGA-PBE).

```
NaCdSnAu
1.0
3.643 -1.340 3.166
-0.789 -3.669 3.317
2.302 -4.414 -0.554
Au Cd Na Sn
1 1 1 1
Direct
0.750 0.750 0.750 Au
0.250 0.250 0.250 Cd
0.500 0.500 0.500 Na
0.000 0.000 0.000 Sn
```


Version Q
Entry from the Open Quantum Materials Database: a relaxed structure of NaCdSnAu (GGA-PBE).

```
NaCdSnAu
1.0
0.000 3.538 3.538
3.538 0.000 3.538
3.538 3.538 0.000
Au Cd Na Sn
1 1 1 1
Direct
0.750 0.750 0.750 Au
0.000 0.000 0.000 Cd
0.500 0.500 0.500 Na
0.250 0.250 0.250 Sn
```


Which structure is the most stable? The one labeled version P.


Version P
Entry from the Open Quantum Materials Database: a relaxed structure of NbCdPdAu (GGA-PBE).

```
NbCdPdAu
1.0
0.000 3.290 3.290
3.290 0.000 3.290
3.290 3.290 0.000
Au Cd Nb Pd
1 1 1 1
Direct
0.750 0.750 0.750 Au
0.000 0.000 0.000 Cd
0.500 0.500 0.500 Nb
0.250 0.250 0.250 Pd
```

Values from the calculation:
- Total magnetic moment: 0.003 μB per atom


Version Q
Entry from the Open Quantum Materials Database: a relaxed structure of NbCdPdAu (GGA-PBE).

```
NbCdPdAu
1.0
0.000 3.278 3.278
3.278 0.000 3.278
3.278 3.278 0.000
Au Cd Nb Pd
1 1 1 1
Direct
0.750 0.750 0.750 Au
0.250 0.250 0.250 Cd
0.500 0.500 0.500 Nb
0.000 0.000 0.000 Pd
```

Values from the calculation:
- Total magnetic moment: 0.002 μB per atom


Which structure is the most stable? The one labeled version P.


Version P
Entry from the Open Quantum Materials Database: a relaxed structure of Cd2Au2O5 (GGA-PBE).

```
Cd2Au2O5
1.0
6.852 0.000 0.000
0.000 4.123 0.000
0.000 0.000 4.123
Au Cd O
2 2 5
Direct
0.195 0.500 0.500 Au
0.805 0.500 0.500 Au
0.000 0.000 0.000 Cd
0.500 0.000 0.000 Cd
0.225 0.500 0.000 O
0.775 0.500 0.000 O
0.225 0.000 0.500 O
0.775 0.000 0.500 O
0.500 0.500 0.500 O
```


Version Q
Entry from the Open Quantum Materials Database: a relaxed structure of Cd2Au2O5 (GGA-PBE).

```
Cd2Au2O5
1.0
-8.509 -2.286 -2.443
1.067 -0.187 -3.540
0.835 -3.579 0.440
Au Cd O
2 2 5
Direct
0.000 0.000 0.000 Au
0.500 0.000 0.000 Au
0.266 0.500 0.500 Cd
0.734 0.500 0.500 Cd
0.133 0.500 0.000 O
0.867 0.500 0.000 O
0.133 0.000 0.500 O
0.867 0.000 0.500 O
0.500 0.500 0.500 O
```


Which structure is the most stable? The one labeled version P.


Version P
Entry from the Open Quantum Materials Database: a relaxed structure of RbCdPbAu (GGA-PBE).

```
RbCdPbAu
1.0
0.000 3.811 3.811
3.811 0.000 3.811
3.811 3.811 0.000
Au Cd Pb Rb
1 1 1 1
Direct
0.750 0.750 0.750 Au
0.500 0.500 0.500 Cd
0.000 0.000 0.000 Pb
0.250 0.250 0.250 Rb
```


Version Q
Entry from the Open Quantum Materials Database: a relaxed structure of RbCdPbAu (GGA-PBE).

```
RbCdPbAu
1.0
0.000 3.880 3.880
3.880 0.000 3.880
3.880 3.880 0.000
Au Cd Pb Rb
1 1 1 1
Direct
0.750 0.750 0.750 Au
0.250 0.250 0.250 Cd
0.000 0.000 0.000 Pb
0.500 0.500 0.500 Rb
```


Version R
Entry from the Open Quantum Materials Database: a relaxed structure of RbCdPbAu (GGA-PBE).

```
RbCdPbAu
1.0
3.169 -2.364 3.748
-1.339 0.287 5.273
-1.734 -4.453 2.616
Au Cd Pb Rb
1 1 1 1
Direct
0.750 0.750 0.750 Au
0.000 0.000 0.000 Cd
0.250 0.250 0.250 Pb
0.500 0.500 0.500 Rb
```


Which structure is the most stable? The one labeled version Q.


Version P
Entry from the Open Quantum Materials Database: a relaxed structure of CdPdAu (GGA-PBE).

```
CdPdAu
1.0
4.503 -2.099 0.000
4.503 2.099 0.000
-1.543 0.000 5.605
Au Cd Pd
2 2 2
Direct
0.916 0.916 0.410 Au
0.245 0.245 0.585 Au
0.253 0.253 0.090 Cd
0.576 0.576 0.747 Cd
0.585 0.585 0.245 Pd
0.913 0.913 0.914 Pd
```


Version Q
Entry from the Open Quantum Materials Database: a relaxed structure of CdPdAu (GGA-PBE).

```
CdPdAu
1.0
-2.364 -3.650 1.030
-2.663 0.003 3.589
-4.440 -0.005 -0.512
Au Cd Pd
1 1 1
Direct
0.250 0.250 0.250 Au
0.750 0.750 0.750 Cd
0.000 0.000 0.000 Pd
```


Which structure is the most stable? The one labeled version P.


Version P
Entry from the Open Quantum Materials Database: a relaxed structure of TaCdPdAu (GGA-PBE).

```
TaCdPdAu
1.0
0.000 3.281 3.281
3.281 0.000 3.281
3.281 3.281 0.000
Au Cd Pd Ta
1 1 1 1
Direct
0.750 0.750 0.750 Au
0.500 0.500 0.500 Cd
0.250 0.250 0.250 Pd
0.000 0.000 0.000 Ta
```

Values from the calculation:
- Total magnetic moment: 0.000 μB per atom


Version Q
Entry from the Open Quantum Materials Database: a relaxed structure of TaCdPdAu (GGA-PBE).

```
TaCdPdAu
1.0
-2.618 -2.215 3.106
-1.700 2.287 3.644
-4.532 0.892 0.262
Au Cd Pd Ta
1 1 1 1
Direct
0.750 0.750 0.750 Au
0.000 0.000 0.000 Cd
0.500 0.500 0.500 Pd
0.250 0.250 0.250 Ta
```

Values from the calculation:
- Total magnetic moment: 0.001 μB per atom


Which structure is the most stable? The one labeled version P.


Version P
Entry from the Open Quantum Materials Database: a relaxed structure of Cd2PtAu2 (GGA-PBE).

```
Cd2PtAu2
1.0
-1.907 1.907 6.796
1.907 -1.907 6.796
1.907 1.907 -6.796
Au Cd Pt
2 2 1
Direct
0.750 0.250 0.500 Au
0.250 0.750 0.500 Au
0.404 0.404 0.000 Cd
0.596 0.596 0.000 Cd
0.000 0.000 0.000 Pt
```

Values from the calculation:
- Total magnetic moment: 0.000 μB per atom


Version Q
Entry from the Open Quantum Materials Database: a relaxed structure of Cd2PtAu2 (GGA-PBE).

```
Cd2PtAu2
1.0
-3.962 -0.081 0.316
0.282 -2.794 2.814
2.105 5.986 2.924
Au Cd Pt
2 2 1
Direct
0.600 0.600 0.201 Au
0.400 0.400 0.799 Au
0.750 0.250 0.500 Cd
0.250 0.750 0.500 Cd
0.000 0.000 0.000 Pt
```

Values from the calculation:
- Total magnetic moment: 0.001 μB per atom


Which structure is the most stable? The one labeled version P.


Version P
Entry from the Open Quantum Materials Database: a relaxed structure of Cd2Pt2Au (GGA-PBE).

```
Cd2Pt2Au
1.0
-0.104 2.548 6.689
-2.793 5.740 3.240
-0.825 -5.528 -4.473
Au Cd Pt
1 2 2
Direct
0.000 0.000 0.000 Au
0.399 0.399 0.000 Cd
0.601 0.601 0.000 Cd
0.750 0.250 0.500 Pt
0.250 0.750 0.500 Pt
```

Values from the calculation:
- Total magnetic moment: 0.003 μB per atom


Version Q
Entry from the Open Quantum Materials Database: a relaxed structure of Cd2Pt2Au (GGA-PBE).

```
Cd2Pt2Au
1.0
-2.037 2.037 6.102
2.037 -2.037 6.102
2.037 2.037 -6.102
Au Cd Pt
1 2 2
Direct
0.000 0.000 0.000 Au
0.750 0.250 0.500 Cd
0.250 0.750 0.500 Cd
0.397 0.397 0.000 Pt
0.603 0.603 0.000 Pt
```

Values from the calculation:
- Total magnetic moment: 0.000 μB per atom


Which structure is the most stable? The one labeled version P.


Version P
Entry from the Open Quantum Materials Database: a relaxed structure of Tb2CdAu (GGA-PBE).

```
Tb2CdAu
1.0
5.377 0.000 0.000
0.000 5.737 3.303
0.000 -5.737 3.303
Au Cd Tb
2 2 4
Direct
0.750 0.885 0.610 Au
0.250 0.610 0.885 Au
0.250 0.659 0.338 Cd
0.750 0.338 0.659 Cd
0.750 0.846 0.068 Tb
0.750 0.400 0.194 Tb
0.250 0.194 0.400 Tb
0.250 0.068 0.846 Tb
```

Values from the calculation:
- Total magnetic moment: 0.004 μB per atom


Version Q
Entry from the Open Quantum Materials Database: a relaxed structure of Tb2CdAu (GGA-PBE).

```
Tb2CdAu
1.0
5.058 0.000 0.000
0.000 3.504 5.655
0.000 -3.504 5.655
Au Cd Tb
2 2 4
Direct
0.000 0.662 0.171 Au
0.000 0.171 0.662 Au
0.500 0.330 0.330 Cd
0.000 0.668 0.668 Cd
0.000 0.186 0.186 Tb
0.500 0.806 0.338 Tb
0.500 0.338 0.806 Tb
0.500 0.838 0.838 Tb
```

Values from the calculation:
- Total magnetic moment: 0.001 μB per atom


Version R
Entry from the Open Quantum Materials Database: a relaxed structure of Tb2CdAu (GGA-PBE).

```
Tb2CdAu
1.0
-0.447 5.778 2.851
-1.813 -4.681 4.064
4.778 -0.435 1.631
Au Cd Tb
2 2 4
Direct
0.163 0.837 0.250 Au
0.837 0.163 0.750 Au
0.624 0.376 0.250 Cd
0.376 0.624 0.750 Cd
0.113 0.355 0.250 Tb
0.645 0.887 0.250 Tb
0.355 0.113 0.750 Tb
0.887 0.645 0.750 Tb
```

Values from the calculation:
- Total magnetic moment: 0.000 μB per atom


Which structure is the most stable? The one labeled version R.


Version P
Entry from the Open Quantum Materials Database: a relaxed structure of CsCoTcAu (GGA-PBE).

```
CsCoTcAu
1.0
-3.549 -3.453 0.392
-2.667 -0.357 4.175
-4.782 1.344 0.015
Au Co Cs Tc
1 1 1 1
Direct
0.750 0.750 0.750 Au
0.250 0.250 0.250 Co
0.000 0.000 0.000 Cs
0.500 0.500 0.500 Tc
```

Values from the calculation:
- Total magnetic moment: 0.992 μB per atom


Version Q
Entry from the Open Quantum Materials Database: a relaxed structure of CsCoTcAu (GGA-PBE).

```
CsCoTcAu
1.0
2.600 3.736 1.642
-1.180 2.113 4.190
2.847 -0.551 3.874
Au Co Cs Tc
1 1 1 1
Direct
0.750 0.750 0.750 Au
0.500 0.500 0.500 Co
0.000 0.000 0.000 Cs
0.250 0.250 0.250 Tc
```

Values from the calculation:
- Total magnetic moment: 0.953 μB per atom


Which structure is the most stable? The one labeled version P.


Version P
Entry from the Open Quantum Materials Database: a relaxed structure of HfGaCoAu (GGA-PBE).

```
HfGaCoAu
1.0
0.000 3.184 3.184
3.184 0.000 3.184
3.184 3.184 0.000
Au Co Ga Hf
1 1 1 1
Direct
0.250 0.250 0.250 Au
0.750 0.750 0.750 Co
0.000 0.000 0.000 Ga
0.500 0.500 0.500 Hf
```

Values from the calculation:
- Total magnetic moment: 0.247 μB per atom


Version Q
Entry from the Open Quantum Materials Database: a relaxed structure of HfGaCoAu (GGA-PBE).

```
HfGaCoAu
1.0
0.000 3.177 3.177
3.177 0.000 3.177
3.177 3.177 0.000
Au Co Ga Hf
1 1 1 1
Direct
0.500 0.500 0.500 Au
0.750 0.750 0.750 Co
0.000 0.000 0.000 Ga
0.250 0.250 0.250 Hf
```

Values from the calculation:
- Total magnetic moment: 0.007 μB per atom


Which structure is the most stable? The one labeled version P.